BaRe2Br, relaxed, DFT PBE; energy relative to the elements, uncorrected = 0.5728 eV per atom; M_tot = 0.0 Bohr magnetons per cell; uncorrected energy = -26.20 eV per formula unit
1.0
6.3544 -1.7571 0.0000
6.3544 1.7571 0.0000
-2.2315 0.0000 5.0269
Ba Re Br
1 2 1
Direct
0.0000 0.0000 0.0000 Ba
0.2270 0.2270 0.8486 Re
0.7730 0.7730 0.1514 Re
0.5000 0.5000 0.5000 Br



CaLaI, relaxed, DFT PBE; energy relative to the elements, uncorrected = -0.6469 eV per atom; M_tot = 0.0 Bohr magnetons per cell; uncorrected energy = -10.42 eV per formula unit
1.0
4.0074 0.0000 0.0000
-2.0037 3.4705 0.0000
0.0000 0.0000 8.0303
Ca La I
1 1 1
Direct
0.0000 0.0000 0.0000 Ca
0.3333 0.6667 0.6212 La
0.6667 0.3333 0.3117 I



Which value of M_tot does entry 1 give? 0.0 Bohr magnetons per cell